Density functional theory data (PBE) for Lu2Hf4Fe3N3 after structural relaxation.

Cell: 5.5133 5.5133 13.7077 Å, 102.03 102.03 60.01°
Last column: nearest neighbours and their distance in Å.
Fractional positions:
Lu1 0.0424 0.8747 0.6224  3 N 2.45-2.47
Lu2 0.1253 0.9576 0.8776  3 N 2.45-2.47
Lu3 0.8747 0.0424 0.1224  3 N 2.45-2.47
Lu4 0.9576 0.1253 0.3776  3 N 2.45-2.47
Hf1 0.1968 0.3622 0.0950  3 N 2.21-2.24
Hf2 0.2964 0.4742 0.4050  3 N 2.21-2.24
Hf3 0.3622 0.1968 0.5950  3 N 2.21-2.24
Hf4 0.4742 0.2964 0.9050  3 N 2.21-2.24
Hf5 0.5258 0.7036 0.0950  3 N 2.21-2.24
Hf6 0.6378 0.8032 0.4050  3 N 2.21-2.24
Hf7 0.7036 0.5258 0.5950  3 N 2.21-2.24
Hf8 0.8032 0.6378 0.9050  3 N 2.21-2.24
Fe1 0.0860 0.4057 0.7501  4 Hf 2.59-2.61, 4 Fe 2.75-2.76
Fe2 0.4057 0.0860 0.2501  4 Hf 2.59-2.61, 4 Fe 2.75-2.76
Fe3 0.4244 0.5756 0.2500  4 Hf 2.61-2.62, 4 Fe 2.75-2.76
Fe4 0.5756 0.4244 0.7500  4 Hf 2.61-2.62, 4 Fe 2.75-2.76
Fe5 0.5943 0.9140 0.7499  4 Hf 2.59-2.61, 4 Fe 2.75-2.76
Fe6 0.9140 0.5943 0.2499  4 Hf 2.59-2.61, 4 Fe 2.75-2.76
N1 0.0000 0.5000 0.5000  4 Hf 2.23, 2 Lu 2.45
N2 0.1690 0.6619 0.0001  4 Hf 2.21-2.24, 1 Lu 2.47
N3 0.3381 0.8310 0.4998  4 Hf 2.21-2.24, 1 Lu 2.47
N4 0.5000 0.0000 0.0000  4 Hf 2.23, 2 Lu 2.45
N5 0.6619 0.1690 0.5002  4 Hf 2.21-2.24, 1 Lu 2.47
N6 0.8310 0.3381 0.9998  4 Hf 2.21-2.24, 1 Lu 2.47

Total DFT energy (no corrections) ... -9.111 eV per atom
Crystal system ... monoclinic